A geometry-optimized La2Zn4PtAu3 structure. Source: the Alexandria database, functional PBE-GGA.

a b c (Å): 4.4306 4.4306 10.6621
angles (deg): 90.00 90.00 90.00
Space group P-4m2 (No. 115)
Symmetry-distinct sites (fractional):
La1 0.0000 0.5000 0.2389 (multiplicity 2)
Zn1 0.0000 0.0000 0.5000 (multiplicity 1)
Zn2 0.0000 0.5000 0.8758 (multiplicity 2)
Zn3 0.5000 0.5000 0.5000 (multiplicity 1)
Pt1 0.5000 0.5000 0.0000 (multiplicity 1)
Au1 0.0000 0.0000 0.0000 (multiplicity 1)
Au2 0.0000 0.5000 0.6363 (multiplicity 2)

Values from the calculation:
- ΔE_f: -0.596 eV per atom
- Magnetic moment: 0.00 μB/cell
- Volume: 20.9 Å³/atom

A geometry-optimized TlZn3F structure. Source: the Alexandria database, functional PBE-GGA.

a b c (Å): 4.6434 4.6434 4.6434
angles (deg): 90.00 90.00 90.00
Space group Pm-3m (No. 221)
Symmetry-distinct sites (fractional):
Tl1 0.0000 0.0000 0.0000 (multiplicity 1)
Zn1 0.0000 0.5000 0.5000 (multiplicity 3)
F1 0.5000 0.5000 0.5000 (multiplicity 1)

Values from the calculation:
- Total DFT energy (no corrections): -8.91 eV per formula unit
- Magnetic moment: 0.00 μB/cell
- Volume: 20.0 Å³/atom

A geometry-optimized NaPrBN2 structure. Source: the Alexandria database, functional PBE-GGA.

a b c (Å): 5.8940 4.1927 7.3913
angles (deg): 90.00 100.33 90.00
Space group P2/c (No. 13)
Symmetry-distinct sites (fractional):
Na1 0.0000 0.0018 0.2500 (multiplicity 2)
Pr1 0.5000 0.4967 0.7500 (multiplicity 2)
B1 0.0000 0.5000 0.0000 (multiplicity 2)
N1 0.2116 0.4971 0.9551 (multiplicity 4)

Values from the calculation:
- Total DFT energy (no corrections): -33.18 eV per formula unit
- Magnetic moment: 0.00 μB/cell
- Volume: 18.0 Å³/atom

A geometry-optimized Tl2Ga5Sn structure. Source: the Alexandria database, functional PBE-GGA.

a b c (Å): 4.8739 16.7146 9.3874
angles (deg): 90.00 90.00 90.00
Space group Cmcm (No. 63)
Symmetry-distinct sites (fractional):
Tl1 0.0000 0.0000 0.0000 (multiplicity 4)
Tl2 0.0000 0.1813 0.2500 (multiplicity 4)
Ga1 0.0000 0.1886 0.6064 (multiplicity 8)
Ga2 0.0000 0.3426 0.5294 (multiplicity 8)
Ga3 0.0000 0.3758 0.2500 (multiplicity 4)
Sn1 0.0000 0.4585 0.7500 (multiplicity 4)

Values from the calculation:
- ΔE_f: 0.030 eV per atom
- Magnetic moment: 0.00 μB/cell
- Volume: 23.9 Å³/atom

A geometry-optimized Tc2PbW structure. Source: the Alexandria database, functional PBE-GGA.

a b c (Å): 2.9502 2.9502 7.9857
angles (deg): 90.00 90.00 90.00
Space group P4mm (No. 99)
Symmetry-distinct sites (fractional):
Tc1 0.0000 0.0000 0.0000 (multiplicity 1)
Tc2 0.5000 0.5000 0.2049 (multiplicity 1)
Pb1 0.5000 0.5000 0.7247 (multiplicity 1)
W1 0.0000 0.0000 0.4350 (multiplicity 1)

Values from the calculation:
- ΔE_f: 0.558 eV per atom
- Magnetic moment: 0.00 μB/cell
- Volume: 17.4 Å³/atom

A geometry-optimized GaW2N structure. Source: the Alexandria database, functional PBE-GGA.

a b c (Å): 2.8670 2.8670 23.8010
angles (deg): 90.00 90.00 120.00
Space group R-3m (No. 166, hexagonal axes)
Symmetry-distinct sites (fractional):
Ga1 0.0000 0.0000 0.0000 (multiplicity 3)
W1 0.0000 0.0000 0.1065 (multiplicity 6)
N1 0.0000 0.0000 0.5000 (multiplicity 3)

Values from the calculation:
- Total DFT energy (no corrections): -36.25 eV per formula unit
- Magnetic moment: 0.00 μB/cell
- Volume: 14.1 Å³/atom